Record 1
Compound: ZnGa2Sb
Source: the Alexandria database
Functional: PBE
Structure: relaxed

abc: 3.2718 3.2718 7.7913
angles: 90.00 90.00 90.00
Closest atoms and distances in Å follow each position.
Space group P4/mmm (No. 123)
Symmetry-distinct sites (fractional):
Zn 0.0000 0.0000 0.0000 [1 per cell]  8 Ga 2.86
Ga 0.5000 0.5000 0.2152 [2 per cell]  4 Zn 2.86
Sb 0.0000 0.0000 0.5000 [1 per cell]  8 Ga 3.21, 4 Sb 3.27

As for the total magnetization: 0.00 μB/f.u. The value obtained for the energy relative to the lowest polymorph listed for this composition is 18 meV per atom. The calculation puts the uncorrected formation energy at 2.3 kcal/mol of atoms. The calculation puts the total energy at -2.7635 eV/atom.

=====

Record 2
Compound: KSb2P
Source: the Alexandria database
Functional: PBE
Structure: relaxed

abc: 6.6814 11.2358 3.1651
angles: 90.00 118.08 90.00
Closest atoms and distances in Å follow each position.
Space group C2/m (No. 12)
Symmetry-distinct sites (fractional):
K 0.0000 0.0000 0.0000 [2 per cell]  2 K 3.17, 4 Sb 3.27, 4 P 3.34-3.35
Sb 0.2500 0.2500 0.0000 [4 per cell]  6 Sb 3.17-3.35, 2 K 3.27, 2 P 3.27
P 0.0000 0.5000 0.0000 [2 per cell]  2 P 3.17, 4 Sb 3.27, 4 K 3.34-3.35

As for the total magnetization: 0.00 μB/f.u. The calculation puts the uncorrected formation energy at 6.1 kcal/mol of atoms. The calculation puts the total energy at -3.4226 eV/atom.

=====

Record 3
Compound: CsMnGeTe3
Source: the Alexandria database
Functional: PBE
Structure: relaxed

abc: 9.7640 4.1074 11.6165
angles: 90.00 114.79 90.00
Closest atoms and distances in Å follow each position.
Space group P2_1/m (No. 11)
Symmetry-distinct sites (fractional):
Cs 0.0414 0.2500 0.2677 [2 per cell]  7 Te 3.86-4.01, 1 Ge 3.91, 2 Cs 4.11
Mn 0.4808 0.7500 0.8448 [2 per cell]  6 Te 2.76-2.84
Ge 0.4398 0.2500 0.5526 [2 per cell]  3 Te 2.70-2.82, 2 Ge 2.88
Te 0.2636 0.7500 0.5890 [2 per cell]  2 Ge 2.82, 1 Mn 2.84
Te 0.3237 0.2500 0.9019 [2 per cell]  3 Mn 2.76-2.80
Te 0.3508 0.7500 0.2050 [2 per cell]  1 Ge 2.70, 2 Mn 2.84

As for the total magnetization: 4.00 μB/f.u. The calculation puts the uncorrected formation energy at -8.9 kcal/mol of atoms. The calculation puts the total energy at -4.3949 eV/atom.

=====

Record 4
Compound: Cd2PRh
Source: the Alexandria database
Functional: PBE
Structure: relaxed

abc: 4.0855 4.0855 8.3594
angles: 90.00 90.00 90.00
Closest atoms and distances in Å follow each position.
Space group I-4m2 (No. 119)
Symmetry-distinct sites (fractional):
Cd 0.0000 0.0000 0.0000 [2 per cell]  4 Rh 2.89, 4 Cd 2.92, 4 P 2.92
Cd 0.0000 0.5000 0.2500 [2 per cell]  4 P 2.89, 4 Cd 2.92, 4 Rh 2.92
P 0.0000 0.5000 0.7500 [2 per cell]  8 Cd 2.89-2.92, 4 Rh 2.92
Rh 0.0000 0.0000 0.5000 [2 per cell]  8 Cd 2.89-2.92, 4 P 2.92

As for the total magnetization: 0.00 μB/f.u. The calculation puts the total energy at -3.5380 eV/atom.

=====

Record 5
Compound: NdGd2Br
Source: the Alexandria database
Functional: PBE
Structure: relaxed

abc: 3.5889 3.5889 9.6652
angles: 90.00 90.00 90.00
Closest atoms and distances in Å follow each position.
Space group P4/mmm (No. 123)
Symmetry-distinct sites (fractional):
Nd 0.0000 0.0000 0.0000 [1 per cell]  4 Nd 3.59, 8 Gd 3.60
Gd 0.5000 0.5000 0.2639 [2 per cell]  4 Br 3.41, 4 Gd 3.59, 4 Nd 3.60
Br 0.0000 0.0000 0.5000 [1 per cell]  8 Gd 3.41, 4 Br 3.59

As for the total magnetization: 14.72 μB/f.u. The value obtained for the energy relative to the lowest polymorph listed for this composition is 95 meV per atom. The calculation puts the uncorrected formation energy at -10.5 kcal/mol of atoms. The calculation puts the total energy at -9.1057 eV/atom.

=====

Record 6
Compound: Sc2VHRh
Source: the Alexandria database
Functional: PBE
Structure: relaxed

abc: 4.5930 4.5930 3.4622
angles: 90.00 90.00 90.00
Closest atoms and distances in Å follow each position.
Space group P4/mmm (No. 123)
Symmetry-distinct sites (fractional):
Sc 0.0000 0.5000 0.0000 [2 per cell]  2 H 2.30
V 0.0000 0.0000 0.5000 [1 per cell]  2 H 1.73
H 0.0000 0.0000 0.0000 [1 per cell]  2 V 1.73
Rh 0.5000 0.5000 0.5000 [1 per cell]  8 Sc 2.88

As for the total magnetization: 2.75 μB/f.u. The calculation puts the total energy at -6.8965 eV/atom.

=====

Record 7
Compound: PmTmZnAg
Source: the Alexandria database
Functional: PBE
Structure: relaxed

abc: 3.6077 3.6077 7.3032
angles: 90.00 90.00 90.00
Closest atoms and distances in Å follow each position.
Space group P4mm (No. 99)
Symmetry-distinct sites (fractional):
Pm 0.0000 0.0000 0.0000 [1 per cell]  4 Zn 3.17, 4 Ag 3.28, 1 Tm 3.54
Tm 0.0000 0.0000 0.5159 [1 per cell]  4 Zn 3.04, 4 Ag 3.07
Zn 0.5000 0.5000 0.7432 [1 per cell]  4 Tm 3.04, 4 Pm 3.17, 1 Ag 3.37
Ag 0.5000 0.5000 0.2821 [1 per cell]  4 Tm 3.07, 4 Pm 3.28, 1 Zn 3.37

As for the total magnetization: 0.00 μB/f.u. The value obtained for the energy relative to the lowest polymorph listed for this composition is 0 meV per atom. The calculation puts the total energy at -3.6579 eV/atom.

=====

Record 8
Compound: Pm2NdTc
Source: the Alexandria database
Functional: PBE
Structure: relaxed

abc: 4.8773 4.8773 15.7761
angles: 90.00 90.00 120.00
Closest atoms and distances in Å follow each position.
Space group R-3m (No. 166, hexagonal axes)
Symmetry-distinct sites (fractional):
Pm 0.0000 0.0000 0.2302 [6 per cell]  3 Tc 2.99, 3 Nd 3.25
Nd 0.0000 0.0000 0.0000 [3 per cell]  8 Pm 3.25-3.63
Tc 0.0000 0.0000 0.5000 [3 per cell]  6 Pm 2.99

As for the total magnetization: 0.00 μB/f.u. The value obtained for the energy relative to the lowest polymorph listed for this composition is 250 meV per atom. The calculation puts the total energy at -5.9010 eV/atom.